1.
Density functional theory data (GGA-PBE) for a relaxed Na2TlCdO4 crystal.

Lattice parameters (Å, degrees): 3.3855 5.8555 5.9075 109.48 90.00 90.00
Last column: nearest neighbours and their distance in Å.
Atoms (fractional coordinates):
O 0.5000 0.2418 0.2243  2 Cd 2.32, 1 Tl 2.32, 3 Na 2.48-2.49
O 0.0000 0.2594 0.7730  2 Tl 2.32, 1 Cd 2.34, 3 Na 2.47-2.48
O 0.0000 0.7406 0.2270  2 Tl 2.32, 1 Cd 2.34, 3 Na 2.47-2.48
O 0.5000 0.7582 0.7757  2 Cd 2.32, 1 Tl 2.32, 3 Na 2.48-2.49
Na 0.5000 0.0000 0.5000  6 O 2.48-2.49
Na 0.0000 0.5000 0.5000  6 O 2.47-2.48
Tl 0.5000 0.5000 0.0000  6 O 2.32
Cd 0.0000 0.0000 0.0000  6 O 2.32-2.34

Computed properties:
The mass density comes out at 6.4 Mg/m³. As for the energy relative to the elements, uncorrected: -1014 meV per atom. The total energy comes out at -33.87 eV for the cell shown. For the density of states at the Fermi level, the calculation gives 0.692 states/eV/atom. As for the space group: P2/m.

---

2.
Density functional theory data (GGA-PBE) for a relaxed NaTl2CdO4 crystal.

Lattice parameters (Å, degrees): 4.9513 4.9513 5.8724 114.93 114.93 90.00
Last column: nearest neighbours and their distance in Å.
Atoms (fractional coordinates):
O 0.4372 0.9372 0.0000  2 Tl 2.36, 2 Cd 2.48, 2 Na 2.48
O 0.6949 0.6949 0.5155  1 Cd 2.28, 1 Na 2.43, 4 Tl 2.48
O 0.1794 0.1794 0.4845  1 Cd 2.28, 1 Na 2.43, 4 Tl 2.48
O 0.9372 0.4372 0.0000  2 Tl 2.36, 2 Cd 2.48, 2 Na 2.48
Cd 0.9372 0.9372 0.0000  6 O 2.28-2.48
Tl 0.6871 0.1871 0.5000  6 O 2.36-2.48
Tl 0.1871 0.6871 0.5000  6 O 2.36-2.48
Na 0.4372 0.4372 0.0000  6 O 2.43-2.48

Computed properties:
The mass density comes out at 8.7 Mg/m³. As for the energy relative to the elements, uncorrected: -895 meV per atom. The total energy comes out at -33.96 eV for the cell shown. For the density of states at the Fermi level, the calculation gives 0.134 states/eV/atom. As for the space group: I4/mmm.

---

3.
Density functional theory data (GGA-PBE) for a relaxed NaU2CdO8 crystal.

Lattice parameters (Å, degrees): 5.3839 5.3839 6.4260 114.77 114.77 90.00
Last column: nearest neighbours and their distance in Å.
Atoms (fractional coordinates):
O 0.1529 0.6265 0.7510  2 U 2.22, 1 Cd 2.39, 1 Na 2.40, 1 O 2.40
O 0.5981 0.1245 0.7510  2 U 2.22, 1 Cd 2.39, 1 Na 2.40, 1 O 2.40
O 0.3727 0.8472 0.2488  2 U 2.22, 1 Cd 2.38, 1 O 2.40, 1 Na 2.40
O 0.5984 0.6273 0.7512  2 U 2.22, 1 Cd 2.38, 1 O 2.40, 1 Na 2.40
O 0.8761 0.4016 0.2488  2 U 2.22, 1 Cd 2.38, 1 O 2.40, 1 Na 2.40
O 0.1528 0.1239 0.7512  2 U 2.22, 1 Cd 2.38, 1 O 2.40, 1 Na 2.40
O 0.3735 0.4019 0.2490  2 U 2.22, 1 Cd 2.39, 1 Na 2.40, 1 O 2.40
O 0.8755 0.8471 0.2490  2 U 2.22, 1 Cd 2.39, 1 Na 2.40, 1 O 2.40
Na 0.7500 0.2500 0.5000  8 O 2.40
U 0.5000 0.5000 0.0000  8 O 2.22
U 0.2500 0.7500 0.5000  8 O 2.22
Cd 0.0000 0.0000 0.0000  8 O 2.38-2.39

Computed properties:
The mass density comes out at 8.2 Mg/m³. As for the energy relative to the elements, uncorrected: -2334 meV per atom. The total energy comes out at -92.48 eV for the cell shown. For the density of states at the Fermi level, the calculation gives 0.577 states/eV/atom. As for the space group: I-4m2.

---

4.
Density functional theory data (GGA-PBE) for a relaxed Na2UCd2O6 crystal.

Lattice parameters (Å, degrees): 5.7531 5.7531 6.0614 100.96 100.96 117.50
Last column: nearest neighbours and their distance in Å.
Atoms (fractional coordinates):
Cd 0.3379 0.6621 0.5000  6 O 2.31-2.49
Cd 0.6621 0.3379 0.5000  6 O 2.31-2.49
U 0.0000 0.0000 0.5000  6 O 2.12
O 0.6272 0.9392 0.2840  1 U 2.12, 1 Cd 2.31
O 0.3728 0.0608 0.7160  1 U 2.12, 1 Cd 2.31
O 0.9392 0.6272 0.2840  1 U 2.12, 1 Cd 2.31
O 0.7811 0.7811 0.7070  1 U 2.12, 2 Cd 2.32
O 0.0608 0.3728 0.7160  1 U 2.12, 1 Cd 2.31
O 0.2189 0.2189 0.2930  1 U 2.12, 2 Cd 2.32
Na 0.8196 0.1804 0.0000  6 O 2.51-2.52
Na 0.1804 0.8196 0.0000  6 O 2.51-2.52

Computed properties:
The mass density comes out at 6.1 Mg/m³. As for the energy relative to the elements, uncorrected: -1970 meV per atom. The total energy comes out at -67.17 eV for the cell shown. For the density of states at the Fermi level, the calculation gives 0.000 states/eV/atom. As for the space group: C2/m.

---

5.
Density functional theory data (GGA-PBE) for a relaxed NaUCd2O6 crystal.

Lattice parameters (Å, degrees): 5.6425 6.0103 6.3211 118.39 118.67 90.00
Last column: nearest neighbours and their distance in Å.
Atoms (fractional coordinates):
O 0.8732 0.3510 0.1888  1 U 2.14, 2 Cd 2.26-2.35, 1 Na 2.35
O 0.1268 0.6490 0.8112  1 U 2.14, 2 Cd 2.26-2.35, 1 Na 2.35
O 0.1268 0.1622 0.8112  1 U 2.14, 2 Cd 2.26-2.35, 1 Na 2.35
O 0.8732 0.8378 0.1888  1 U 2.14, 2 Cd 2.26-2.35, 1 Na 2.35
O 0.6146 0.3229 0.6458  1 U 1.98, 1 Cd 2.18
O 0.3854 0.6771 0.3542  1 U 1.98, 1 Cd 2.18
Na 0.5000 0.0000 0.0000  4 O 2.35
Cd 0.8288 0.7463 0.4927  5 O 2.18-2.35
Cd 0.1712 0.2537 0.5073  5 O 2.18-2.35
U 0.0000 0.5000 0.0000  6 O 1.98-2.14

Computed properties:
The mass density comes out at 6.1 Mg/m³. As for the energy relative to the elements, uncorrected: -1835 meV per atom. The total energy comes out at -62.54 eV for the cell shown. For the density of states at the Fermi level, the calculation gives 0.919 states/eV/atom. As for the space group: C2/m.